#A
A plane-wave DFT calculation with PBE was carried out for a relaxed structure of ZrBe2Ir.

Summary:
- Size of the total moment: 0.00 μB per cell

Lattice parameters (Å, degrees): 6.5740 3.8028 4.9419 90.00 116.23 90.00
Space group C2/m (No. 12)
One atom of each set of equivalent atoms:
Zr1 0.0000 0.0000 0.0000 [2 per cell]
Be1 0.2078 0.0000 0.6245 [4 per cell]
Ir1 0.0000 0.5000 0.5000 [2 per cell]

#B
A plane-wave DFT calculation with PBE was carried out for a relaxed structure of ZrBe2Ir.

Summary:
- Size of the total moment: 0.00 μB per cell

Lattice parameters (Å, degrees): 2.9368 2.9368 6.3300 90.00 90.00 90.00
Space group P4mm (No. 99)
One atom of each set of equivalent atoms:
Zr1 0.0000 0.0000 0.0000 [1 per cell]
Be1 0.0000 0.0000 0.5045 [1 per cell]
Be2 0.5000 0.5000 0.3155 [1 per cell]
Ir1 0.5000 0.5000 0.6872 [1 per cell]

Stability, highest: #A

#A
A plane-wave DFT calculation with PBE was carried out for a relaxed structure of ZrBe2Ir.

Summary:
- Size of the total moment: 0.00 μB per cell

Lattice parameters (Å, degrees): 3.9919 3.9919 15.8655 90.00 90.00 90.00
Space group I4_1/amd (No. 141, origin choice 2)
One atom of each set of equivalent atoms:
Zr1 0.0000 0.2500 0.3750 [4 per cell]
Be1 0.0000 0.0000 0.0000 [8 per cell]
Ir1 0.0000 0.2500 0.8750 [4 per cell]

#B
A plane-wave DFT calculation with PBE was carried out for a relaxed structure of ZrBe2Ir.

Summary:
- Size of the total moment: 0.00 μB per cell

Lattice parameters (Å, degrees): 5.4500 6.3955 3.0616 90.00 90.28 90.00
Space group C2/m (No. 12)
One atom of each set of equivalent atoms:
Zr1 0.0000 0.0000 0.0000 [2 per cell]
Be1 0.2500 0.2500 0.5000 [4 per cell]
Ir1 0.0000 0.5000 0.0000 [2 per cell]

Stability, highest: #B

#A
A plane-wave DFT calculation with PBE was carried out for a relaxed structure of ZrBe2Ir.

Summary:
- Size of the total moment: 0.00 μB per cell

Lattice parameters (Å, degrees): 2.9162 2.9162 6.2317 90.00 90.00 90.00
Space group P4/mmm (No. 123)
One atom of each set of equivalent atoms:
Zr1 0.0000 0.0000 0.0000 [1 per cell]
Be1 0.5000 0.5000 0.3119 [2 per cell]
Ir1 0.0000 0.0000 0.5000 [1 per cell]

#B
A plane-wave DFT calculation with PBE was carried out for a relaxed structure of ZrBe2Ir.

Summary:
- Size of the total moment: 0.00 μB per cell

Lattice parameters (Å, degrees): 5.9115 5.9115 5.9115 90.00 90.00 90.00
Space group Fm-3m (No. 225)
One atom of each set of equivalent atoms:
Zr1 0.0000 0.0000 0.0000 [4 per cell]
Be1 0.2500 0.2500 0.2500 [8 per cell]
Ir1 0.0000 0.0000 0.5000 [4 per cell]

#C
A plane-wave DFT calculation with PBE was carried out for a relaxed structure of ZrBe2Ir.

Summary:
- Size of the total moment: 0.00 μB per cell

Lattice parameters (Å, degrees): 3.6681 3.0172 9.4248 90.00 90.00 90.00
Space group Amm2 (No. 38)
One atom of each set of equivalent atoms:
Zr1 0.0000 0.0000 0.0000 [2 per cell]
Be1 0.0000 0.0000 0.7303 [2 per cell]
Be2 0.5000 0.0000 0.6175 [2 per cell]
Ir1 0.5000 0.0000 0.3081 [2 per cell]

#D
A plane-wave DFT calculation with PBE was carried out for a relaxed structure of ZrBe2Ir.

Summary:
- Size of the total moment: 0.00 μB per cell

Lattice parameters (Å, degrees): 3.7408 3.8123 3.9310 90.00 90.00 90.00
Space group Pmmm (No. 47)
One atom of each set of equivalent atoms:
Zr1 0.0000 0.0000 0.0000 [1 per cell]
Be1 0.0000 0.5000 0.5000 [1 per cell]
Be2 0.5000 0.0000 0.5000 [1 per cell]
Ir1 0.5000 0.5000 0.0000 [1 per cell]

Stability, highest: #B

#A
A plane-wave DFT calculation with PBE was carried out for a relaxed structure of KBe.

Summary:
- Size of the total moment: 0.00 μB per cell

Lattice parameters (Å, degrees): 5.7345 5.7345 12.0558 90.00 90.00 120.00
Space group R-3m (No. 166, hexagonal axes)
One atom of each set of equivalent atoms:
K1 0.0000 0.0000 0.1370 [6 per cell]
Be1 0.0000 0.0000 0.4102 [6 per cell]

#B
A plane-wave DFT calculation with PBE was carried out for a relaxed structure of KBe.

Summary:
- Size of the total moment: 0.00 μB per cell

Lattice parameters (Å, degrees): 6.3175 9.6345 15.3582 90.00 90.00 90.00
Space group Fddd (No. 70, origin choice 2)
One atom of each set of equivalent atoms:
K1 0.1250 0.2952 0.1250 [16 per cell]
Be1 0.1250 0.1250 0.5555 [16 per cell]

#C
A plane-wave DFT calculation with PBE was carried out for a relaxed structure of KBe.

Summary:
- Size of the total moment: 4.23 μB per cell

Lattice parameters (Å, degrees): 9.5590 9.5590 9.5590 90.00 90.00 90.00
Space group I-43m (No. 217)
One atom of each set of equivalent atoms:
K1 0.2174 0.2174 0.7826 [8 per cell]
Be1 0.0763 0.0763 0.0763 [8 per cell]

Stability, highest: #C

#A
A plane-wave DFT calculation with PBE was carried out for a relaxed structure of KBe4.

Summary:
- Size of the total moment: 0.00 μB per cell

Lattice parameters (Å, degrees): 6.3938 6.3938 6.3938 90.00 90.00 90.00
Space group Im-3m (No. 229)
One atom of each set of equivalent atoms:
K1 0.0000 0.0000 0.0000 [2 per cell]
Be1 0.2500 0.2500 0.2500 [8 per cell]

#B
A plane-wave DFT calculation with PBE was carried out for a relaxed structure of KBe4.

Summary:
- Size of the total moment: 0.00 μB per cell

Lattice parameters (Å, degrees): 4.0146 4.0146 11.8488 90.00 90.00 90.00
Space group I4/mmm (No. 139)
One atom of each set of equivalent atoms:
K1 0.0000 0.0000 0.0000 [2 per cell]
Be1 0.0000 0.0000 0.2675 [4 per cell]
Be2 0.0000 0.5000 0.2500 [4 per cell]

#C
A plane-wave DFT calculation with PBE was carried out for a relaxed structure of KBe4.

Summary:
- Size of the total moment: 0.00 μB per cell

Lattice parameters (Å, degrees): 5.7250 5.7250 5.7250 90.00 90.00 90.00
Space group Pm-3m (No. 221)
One atom of each set of equivalent atoms:
K1 0.0000 0.0000 0.0000 [1 per cell]
Be1 0.0000 0.0000 0.5000 [3 per cell]
Be2 0.5000 0.5000 0.5000 [1 per cell]

#D
A plane-wave DFT calculation with PBE was carried out for a relaxed structure of KBe4.

Summary:
- Size of the total moment: 0.00 μB per cell

Lattice parameters (Å, degrees): 5.8097 5.8097 4.3239 90.00 90.00 90.00
Space group I4/mmm (No. 139)
One atom of each set of equivalent atoms:
K1 0.0000 0.0000 0.0000 [2 per cell]
Be1 0.0000 0.3173 0.5000 [8 per cell]

Stability, highest: #B

#A
A plane-wave DFT calculation with PBE was carried out for a relaxed structure of K3Be.

Summary:
- Size of the total moment: 0.00 μB per cell

Lattice parameters (Å, degrees): 8.3395 14.9001 6.0246 90.00 90.00 90.00
Space group Cmcm (No. 63)
One atom of each set of equivalent atoms:
K1 0.0000 0.1894 0.2500 [4 per cell]
K2 0.2294 0.4131 0.2500 [8 per cell]
Be1 0.0000 0.3396 0.7500 [4 per cell]

#B
A plane-wave DFT calculation with PBE was carried out for a relaxed structure of K3Be.

Summary:
- Size of the total moment: 0.00 μB per cell

Lattice parameters (Å, degrees): 6.1539 6.1539 9.5904 90.00 90.00 90.00
Space group I4/mmm (No. 139)
One atom of each set of equivalent atoms:
K1 0.0000 0.0000 0.0000 [2 per cell]
K2 0.0000 0.5000 0.2500 [4 per cell]
Be1 0.0000 0.0000 0.5000 [2 per cell]

Stability, highest: #A